ScAl4Ir2 | PBE-GGA | relaxed Values from VASP.

Output
The total moment is 0.0 μB/f.u. Its energy of formation from the pure elements is -0.778 eV per atom. The density of states at the Fermi level comes out at 3.6 states/eV/f.u. As for the space group: Pnma.

Structure (Quantum ESPRESSO input):
```
&SYSTEM
  ibrav = 0, nat = 28, ntyp = 3
/
ATOMIC_SPECIES
Sc 44.96 Sc.upf
Ir 192.22 Ir.upf
Al 26.98 Al.upf
CELL_PARAMETERS angstrom
-2.512 3.351 -0.087
-5.195 -3.922 -1.086
-2.426 -1.390 16.624
ATOMIC_POSITIONS crystal
Sc 0.750 0.956 0.642
Sc 0.250 0.044 0.358
Sc 0.250 0.456 0.858
Sc 0.750 0.544 0.142
Ir 0.250 0.757 0.541
Ir 0.750 0.243 0.459
Ir 0.750 0.257 0.959
Ir 0.250 0.743 0.041
Ir 0.250 0.937 0.786
Ir 0.750 0.063 0.214
Ir 0.750 0.437 0.714
Ir 0.250 0.563 0.286
Al 0.250 0.235 0.696
Al 0.750 0.765 0.304
Al 0.750 0.735 0.804
Al 0.250 0.265 0.196
Al 0.250 0.648 0.686
Al 0.750 0.352 0.314
Al 0.750 0.148 0.814
Al 0.250 0.852 0.186
Al 0.250 0.141 0.534
Al 0.750 0.859 0.466
Al 0.750 0.641 0.966
Al 0.250 0.359 0.034
Al 0.250 0.493 0.432
Al 0.750 0.507 0.568
Al 0.750 0.993 0.068
Al 0.250 0.007 0.932
```

***

PrHo2Er5Sc | PBE-GGA | relaxed Values from VASP.

Output
The total moment is 0.0 μB/f.u. Its energy of formation from the pure elements is 0.177 eV per atom. The density of states at the Fermi level comes out at 14.5 states/eV/f.u. As for the space group: Cmc2_1.

Structure (Quantum ESPRESSO input):
```
&SYSTEM
  ibrav = 0, nat = 18, ntyp = 4
/
ATOMIC_SPECIES
Pr 140.91 Pr.upf
Ho 164.93 Ho.upf
Er 167.26 Er.upf
Sc 44.96 Sc.upf
CELL_PARAMETERS angstrom
5.539 0.000 0.000
-2.769 9.809 0.000
0.000 0.000 10.319
ATOMIC_POSITIONS crystal
Pr 0.586 0.173 0.952
Pr 0.414 0.827 0.452
Ho 0.889 0.777 0.815
Ho 0.114 0.228 0.734
Ho 0.111 0.223 0.315
Ho 0.886 0.772 0.234
Er 0.377 0.754 0.021
Er 0.724 0.447 0.822
Er 0.480 0.960 0.738
Er 0.298 0.596 0.706
Er 0.982 0.963 0.521
Er 0.623 0.246 0.521
Er 0.276 0.553 0.322
Er 0.520 0.040 0.238
Er 0.702 0.404 0.206
Er 0.018 0.037 0.021
Sc 0.803 0.607 0.514
Sc 0.197 0.393 0.014
```

***

SrW3C | PBE-GGA | relaxed Values from VASP.

Output
The total moment is 0.0 μB/f.u. Its energy of formation from the pure elements is 4.995 eV per atom. The density of states at the Fermi level comes out at 5.6 states/eV/f.u. As for the space group: Pm-3m.

Structure (Quantum ESPRESSO input):
```
&SYSTEM
  ibrav = 0, nat = 5, ntyp = 3
/
ATOMIC_SPECIES
Sr 87.62 Sr.upf
C 12.01 C.upf
W 183.84 W.upf
CELL_PARAMETERS angstrom
4.770 0.000 0.000
0.000 4.770 0.000
0.000 0.000 4.770
ATOMIC_POSITIONS crystal
Sr 0.000 0.000 0.000
C 0.500 0.500 0.500
W 0.000 0.500 0.000
W 0.000 0.000 0.500
W 0.500 0.000 0.000
```

***

NaGaHgSe | PBE-GGA | relaxed Values from VASP.

Output
The total moment is 0.0 μB/f.u. As for the space group: F-43m. As for the uncorrected formation energy: -0.37 eV per atom.

Structure (Quantum ESPRESSO input):
```
&SYSTEM
  ibrav = 0, nat = 4, ntyp = 4
/
ATOMIC_SPECIES
Na 22.99 Na.upf
Ga 69.72 Ga.upf
Hg 200.59 Hg.upf
Se 78.96 Se.upf
CELL_PARAMETERS angstrom
-3.729 3.494 0.669
-3.447 0.838 -3.739
-4.884 -1.528 0.608
ATOMIC_POSITIONS crystal
Na 0.500 0.500 0.500
Ga 0.000 0.000 0.000
Hg 0.750 0.750 0.750
Se 0.250 0.250 0.250
```

***

Pr2Cd3Hg2 | PBE-GGA | relaxed Values from VASP.

Output
The total moment is 0.2 μB/f.u. Its energy of formation from the pure elements is -0.270 eV per atom. The density of states at the Fermi level comes out at 4.7 states/eV/f.u. As for the space group: Cmmm.

Structure (Quantum ESPRESSO input):
```
&SYSTEM
  ibrav = 0, nat = 7, ntyp = 3
/
ATOMIC_SPECIES
Pr 140.91 Pr.upf
Cd 112.41 Cd.upf
Hg 200.59 Hg.upf
CELL_PARAMETERS angstrom
3.442 0.000 0.000
0.000 4.905 0.000
0.000 -2.452 10.915
ATOMIC_POSITIONS crystal
Pr 0.000 0.845 0.691
Pr 0.000 0.155 0.309
Cd 0.500 0.568 0.136
Cd 0.500 0.432 0.864
Cd 0.000 0.000 0.000
Hg 0.500 0.711 0.423
Hg 0.500 0.289 0.577
```

***

GdHfZnNi | PBE-GGA | relaxed Values from VASP.

Output
The total moment is 7.4 μB/f.u. Its energy of formation from the pure elements is -0.182 eV per atom. The density of states at the Fermi level comes out at 4.3 states/eV/f.u. As for the space group: F-43m.

Structure (Quantum ESPRESSO input):
```
&SYSTEM
  ibrav = 0, nat = 4, ntyp = 4
/
ATOMIC_SPECIES
Ni 58.69 Ni.upf
Zn 65.41 Zn.upf
Gd 157.25 Gd.upf
Hf 178.49 Hf.upf
CELL_PARAMETERS angstrom
-3.671 2.851 -1.070
-3.692 -1.701 -2.495
-4.221 -0.646 2.126
ATOMIC_POSITIONS crystal
Ni 0.250 0.250 0.250
Zn 0.750 0.750 0.750
Gd 0.000 0.000 0.000
Hf 0.500 0.500 0.500
```

***

Ho7Al2Pb2 | PBE-GGA | relaxed Values from VASP.

Output
The total moment is 0.0 μB/f.u. Its energy of formation from the pure elements is -0.052 eV per atom. The density of states at the Fermi level comes out at 10.7 states/eV/f.u. As for the space group: Cmmm.

Structure (Quantum ESPRESSO input):
```
&SYSTEM
  ibrav = 0, nat = 11, ntyp = 3
/
ATOMIC_SPECIES
Ho 164.93 Ho.upf
Al 26.98 Al.upf
Pb 207.20 Pb.upf
CELL_PARAMETERS angstrom
-3.518 -4.186 3.919
3.313 -6.209 -3.660
5.956 1.589 2.694
ATOMIC_POSITIONS crystal
Ho 0.000 0.282 0.500
Ho 0.500 0.718 0.000
Ho 0.000 0.718 0.500
Ho 0.500 0.282 0.000
Ho 0.000 0.000 0.000
Ho 0.500 0.782 0.500
Ho 0.500 0.218 0.500
Al 0.722 0.000 0.278
Al 0.278 0.000 0.722
Pb 0.797 0.500 0.797
Pb 0.203 0.500 0.203
```

***

CdN2O | PBE-GGA | relaxed Values from VASP.

Output
The total moment is 0.2 μB/f.u. The density of states at the Fermi level comes out at 1.3 states/eV/f.u. As for the space group: R-3m. As for the uncorrected formation energy: 2.33 eV per atom.

Structure (Quantum ESPRESSO input):
```
&SYSTEM
  ibrav = 0, nat = 4, ntyp = 3
/
ATOMIC_SPECIES
N 14.01 N.upf
O 16.00 O.upf
Cd 112.41 Cd.upf
CELL_PARAMETERS angstrom
1.762 0.000 6.105
-0.881 1.526 6.105
-0.881 -1.526 6.105
ATOMIC_POSITIONS crystal
N 0.884 0.884 0.884
N 0.116 0.116 0.116
O 0.500 0.500 0.500
Cd 0.000 0.000 0.000
```

***

ZrSnSb | PBE-GGA | relaxed Values from VASP.

Output
The total moment is 0.0 μB/f.u. The density of states at the Fermi level comes out at 3.3 states/eV/f.u. As for the space group: P3m1. As for the uncorrected formation energy: -0.12 eV per atom.

Structure (Quantum ESPRESSO input):
```
&SYSTEM
  ibrav = 0, nat = 3, ntyp = 3
/
ATOMIC_SPECIES
Sb 121.76 Sb.upf
Sn 118.71 Sn.upf
Zr 91.22 Zr.upf
CELL_PARAMETERS angstrom
-1.344 2.863 -0.255
-2.947 -1.729 -3.887
-1.684 -0.356 4.881
ATOMIC_POSITIONS crystal
Sb 0.166 0.667 0.333
Sn 0.668 0.000 0.000
Zr 0.167 0.333 0.667
```

***

Ca2AlF2 | PBE-GGA | relaxed Values from VASP.

Output
The total moment is 0.0 μB/f.u. The density of states at the Fermi level comes out at 2.4 states/eV/f.u. As for the space group: I4/mmm. As for the uncorrected formation energy: -1.89 eV per atom.

Structure (Quantum ESPRESSO input):
```
&SYSTEM
  ibrav = 0, nat = 5, ntyp = 3
/
ATOMIC_SPECIES
Ca 40.08 Ca.upf
Al 26.98 Al.upf
F 19.00 F.upf
CELL_PARAMETERS angstrom
4.990 0.000 0.000
0.000 4.990 0.000
2.495 2.495 4.123
ATOMIC_POSITIONS crystal
Ca 0.750 0.250 0.500
Ca 0.250 0.750 0.500
Al 0.000 0.000 0.000
F 0.270 0.270 0.459
F 0.730 0.730 0.541
```

***

BaLi2OsO4 | PBE-GGA | relaxed Values from VASP.

Output
The total moment is 2.0 μB/f.u. The density of states at the Fermi level comes out at 1.9 states/eV/f.u. As for the space group: Immm. As for the uncorrected formation energy: -1.64 eV per atom.

Structure (Quantum ESPRESSO input):
```
&SYSTEM
  ibrav = 0, nat = 8, ntyp = 4
/
ATOMIC_SPECIES
Ba 137.33 Ba.upf
Li 6.94 Li.upf
Os 190.23 Os.upf
O 16.00 O.upf
CELL_PARAMETERS angstrom
-0.621 5.639 0.624
-2.870 2.023 4.959
1.011 2.392 5.493
ATOMIC_POSITIONS crystal
Ba 0.000 0.000 0.000
Li 0.270 0.230 0.230
Li 0.730 0.770 0.770
Os 0.500 0.500 0.500
O 0.399 0.365 0.365
O 0.129 0.635 0.635
O 0.871 0.365 0.365
O 0.601 0.635 0.635
```

***

PuGe4Pd4 | PBE-GGA | relaxed Values from VASP.

Output
The total moment is 5.9 μB/f.u. Its energy of formation from the pure elements is -0.419 eV per atom. The density of states at the Fermi level comes out at 17.6 states/eV/f.u. As for the space group: P4_2/nmc.

Structure (Quantum ESPRESSO input):
```
&SYSTEM
  ibrav = 0, nat = 18, ntyp = 3
/
ATOMIC_SPECIES
Pu 244.00 Pu.upf
Ge 72.64 Ge.upf
Pd 106.42 Pd.upf
CELL_PARAMETERS angstrom
-4.723 0.284 -4.057
-3.601 -3.181 3.970
-2.556 7.240 3.482
ATOMIC_POSITIONS crystal
Pu 0.000 0.000 0.000
Pu 0.500 0.500 0.500
Ge 0.500 0.781 0.804
Ge 0.500 0.219 0.804
Ge 0.781 0.500 0.196
Ge 0.219 0.500 0.196
Ge 0.281 0.000 0.304
Ge 0.719 0.000 0.304
Ge 0.000 0.281 0.696
Ge 0.000 0.719 0.696
Pd 0.224 0.500 0.901
Pd 0.776 0.500 0.901
Pd 0.500 0.776 0.099
Pd 0.500 0.224 0.099
Pd 0.000 0.724 0.401
Pd 0.000 0.276 0.401
Pd 0.276 0.000 0.599
Pd 0.724 0.000 0.599
```